Below is crystalline TaGaFeNi at its relaxed geometry, with properties calculated at the PBE level.

abc: 4.263 4.263 4.263
angles: 60.00 60.00 60.00
Fractional coordinates of all 4 atoms:
Fe: 0.500 0.500 0.500
Ta: 0.250 0.250 0.250
Ga: 0.000 0.000 0.000
Ni: 0.750 0.750 0.750

ΔE to the lowest computed polymorph: 0.2136 eV per atom
VASP energy: -7.244 eV per atom